[1]
Ca2CuCl: relaxed, PBEsol.

The structure in POSCAR format:
```
Ca2CuCl
1.0
3.510 0.000 0.000
0.000 3.649 0.029
0.000 -0.082 7.786
Ca Cu Cl
2 1 1
Cartesian
0.000 3.581 6.131
0.000 -0.014 1.684
1.755 1.824 0.014
1.755 -0.041 3.893
```

Output
**ΔE_f (raw)**: -18.4 kcal/mol of atoms


[2]
Zr2ZnSi: relaxed, PBEsol.

The structure in POSCAR format:
```
Zr2ZnSi
1.0
-1.458 -2.632 -2.984
1.237 -3.321 2.324
-3.340 2.911 2.073
Si Zn Zr
1 1 2
Cartesian
-0.729 -1.316 -1.492
0.618 -1.660 1.162
-1.836 -3.009 0.542
-1.725 -0.033 0.872
```

Output
**ΔE_f (raw)**: -11.3 kcal/mol of atoms


[3]
In9Pt13: relaxed, PBEsol.

The structure in POSCAR format:
```
In9Pt13
1.0
7.113 -0.005 0.001
-1.658 6.917 -0.001
-2.663 -3.507 7.746
In Pt
9 13
Cartesian
2.225 -1.756 3.873
-1.014 0.800 6.462
3.806 2.605 1.284
3.406 -2.688 6.819
-0.614 6.093 0.927
0.131 2.263 2.389
-2.151 4.063 5.356
2.661 1.143 5.357
4.943 -0.658 2.390
-2.161 1.705 3.872
-0.829 3.459 -0.001
3.557 -0.002 0.001
1.362 1.725 0.000
4.094 5.187 0.000
2.740 3.446 3.805
0.051 -0.041 3.941
1.223 -0.965 6.361
1.569 4.371 1.385
0.318 2.657 5.097
-1.811 4.337 2.648
2.474 0.749 2.649
4.603 -0.932 5.098
```

Output
**E_form**: -9.695 eV/f.u.


[4]
SiTcIr2Rh: relaxed, PBEsol.

The structure in POSCAR format:
```
SiTcIr2Rh
1.0
-4.114 -0.476 1.197
0.734 -4.158 0.868
1.057 1.031 4.042
Si Ir Rh Tc
1 2 1 1
Cartesian
0.000 0.000 0.000
0.367 -2.079 0.434
-2.057 -0.238 0.599
-1.161 -1.802 3.054
0.529 0.515 2.021
```

Output
**ΔE_f (raw)**: 23.9 kcal/mol of atoms